(1)
Re6IrPd after structural relaxation, computed with PBE.

Cell: 5.5628 5.5628 4.4050 Å, 90.00 90.00 120.00°
With the nearest neighbours (Å) after each atom.
Positions (direct):
Re1 0.8256 0.1744 0.0000  8 Re 2.65-2.91, 2 Ir 2.77, 2 Pd 2.78
Re2 0.8256 0.6513 0.0000  8 Re 2.65-2.91, 2 Ir 2.77, 2 Pd 2.78
Ir1 0.0000 0.0000 0.5000  12 Re 2.77-2.78
Re3 0.5067 0.0134 0.5000  8 Re 2.67-2.89, 2 Pd 2.76, 2 Ir 2.78
Re4 0.5067 0.4933 0.5000  8 Re 2.67-2.89, 2 Pd 2.76, 2 Ir 2.78
Re5 0.3487 0.1744 0.0000  8 Re 2.65-2.91, 2 Ir 2.77, 2 Pd 2.78
Pd1 0.3333 0.6667 0.0000  12 Re 2.76-2.78
Re6 0.9866 0.4933 0.5000  8 Re 2.67-2.89, 2 Pd 2.76, 2 Ir 2.78

Summary:
Total magnetic moment: 0.00 Bohr magnetons per cell
Space-group type: P-6m2, No. 187
E_tot: -89.726 eV/f.u.

***

(2)
ReIrPd2 after structural relaxation, computed with PBE.

Cell: 4.3996 4.3996 4.3996 Å, 60.00 60.00 60.00°
With the nearest neighbours (Å) after each atom.
Positions (direct):
Ir1 0.2500 0.2500 0.2500  4 Re 2.69, 4 Pd 2.69
Re1 0.5000 0.5000 0.5000  4 Pd 2.69, 4 Ir 2.69
Pd1 0.0000 0.0000 0.0000  4 Pd 2.69, 4 Ir 2.69
Pd2 0.7500 0.7500 0.7500  4 Re 2.69, 4 Pd 2.69

Summary:
Total magnetic moment: 0.02 Bohr magnetons per cell
Space-group type: F-43m, No. 216
E_tot: -30.384 eV/f.u.

***

(3)
Ir2PdS6 after structural relaxation, computed with PBE.

Cell: 6.1504 6.1504 9.8494 Å, 111.97 111.97 31.56°
With the nearest neighbours (Å) after each atom.
Positions (direct):
S1 0.9692 0.9692 0.7497  1 Pd 2.35, 2 Ir 2.44
S2 0.2107 0.2107 0.1412  1 Pd 2.34, 2 Ir 2.49
Ir1 0.6933 0.6933 0.3195  7 S 2.40-2.49
S3 0.0308 0.0308 0.2503  1 Pd 2.35, 2 Ir 2.44
S4 0.3390 0.3390 0.4540  3 Ir 2.40-2.41
Ir2 0.3067 0.3067 0.6805  7 S 2.40-2.49
S5 0.7893 0.7893 0.8588  1 Pd 2.34, 2 Ir 2.49
S6 0.6610 0.6610 0.5460  3 Ir 2.40-2.41
Pd1 0.0000 0.0000 0.0000  4 S 2.34-2.35

Summary:
Total magnetic moment: 0.00 Bohr magnetons per cell
Space-group type: C2/m, No. 12
E_tot: -47.918 eV/f.u.

***

(4)
Sb2IrPd after structural relaxation, computed with PBE.

Cell: 4.7959 4.7959 4.7959 Å, 60.00 60.00 60.00°
With the nearest neighbours (Å) after each atom.
Positions (direct):
Pd1 0.7500 0.7500 0.7500  4 Sb 2.94, 4 Ir 2.94
Sb1 0.0000 0.0000 0.0000  4 Sb 2.94, 4 Pd 2.94
Ir1 0.5000 0.5000 0.5000  4 Sb 2.94, 4 Pd 2.94
Sb2 0.2500 0.2500 0.2500  4 Sb 2.94, 4 Ir 2.94

Summary:
Total magnetic moment: 0.08 Bohr magnetons per cell
Space-group type: F-43m, No. 216
E_tot: -20.708 eV/f.u.

***

(5)
SbIrPd after structural relaxation, computed with PBE.

Cell: 4.3302 4.3302 4.3302 Å, 60.00 60.00 60.00°
With the nearest neighbours (Å) after each atom.
Positions (direct):
Pd1 0.5000 0.5000 0.5000  4 Sb 2.65
Sb1 0.2500 0.2500 0.2500  4 Ir 2.65, 4 Pd 2.65
Ir1 0.0000 0.0000 0.0000  4 Sb 2.65

Summary:
Total magnetic moment: 0.00 Bohr magnetons per cell
Space-group type: F-43m, No. 216
E_tot: -18.436 eV/f.u.

***

(6)
ScIrPd after structural relaxation, computed with PBE.

Cell: 4.3745 4.3745 4.3745 Å, 60.00 60.00 60.00°
With the nearest neighbours (Å) after each atom.
Positions (direct):
Ir1 0.0000 0.0000 0.0000  4 Pd 2.68, 4 Sc 2.68
Sc1 0.7500 0.7500 0.7500  4 Ir 2.68
Pd1 0.2500 0.2500 0.2500  4 Ir 2.68

Summary:
Total magnetic moment: 0.24 Bohr magnetons per cell
Space-group type: F-43m, No. 216
E_tot: -20.984 eV/f.u.

***

(7)
ScIrPd2 after structural relaxation, computed with PBE.

Cell: 4.4940 4.4940 4.4940 Å, 60.00 60.00 60.00°
With the nearest neighbours (Å) after each atom.
Positions (direct):
Pd1 0.5000 0.5000 0.5000  4 Ir 2.75, 4 Pd 2.75
Sc1 0.0000 0.0000 0.0000  4 Ir 2.75, 4 Pd 2.75
Ir1 0.7500 0.7500 0.7500  4 Pd 2.75, 4 Sc 2.75
Pd2 0.2500 0.2500 0.2500  4 Sc 2.75, 4 Pd 2.75

Summary:
Total magnetic moment: 0.00 Bohr magnetons per cell
Space-group type: F-43m, No. 216
E_tot: -27.354 eV/f.u.

***

(8)
Sc2IrPd after structural relaxation, computed with PBE.

Cell: 6.4877 4.6304 9.2631 Å, 90.00 90.00 90.00°
With the nearest neighbours (Å) after each atom.
Positions (direct):
Pd1 0.7500 0.7500 0.3755  8 Sc 2.82-2.83
Pd2 0.7500 0.7500 0.8755  8 Sc 2.82-2.83
Ir1 0.7500 0.2500 0.1249  8 Sc 2.83
Ir2 0.2500 0.7500 0.8751  8 Sc 2.83
Sc1 0.0000 0.2500 0.8748  4 Pd 2.83, 4 Ir 2.83
Sc2 0.5000 0.2500 0.3748  4 Pd 2.83, 4 Ir 2.83
Sc3 0.5000 0.7500 0.1252  4 Pd 2.82-2.83, 4 Ir 2.83
Sc4 0.0000 0.7500 0.1252  4 Pd 2.83, 4 Ir 2.83
Ir3 0.2500 0.7500 0.3751  8 Sc 2.83
Sc5 0.0000 0.2500 0.3748  4 Pd 2.82-2.83, 4 Ir 2.83
Pd3 0.2500 0.2500 0.6245  8 Sc 2.82-2.83
Sc6 0.5000 0.7500 0.6252  4 Pd 2.83, 4 Ir 2.83
Sc7 0.0000 0.7500 0.6252  4 Pd 2.82-2.83, 4 Ir 2.83
Ir4 0.7500 0.2500 0.6249  8 Sc 2.83
Sc8 0.5000 0.2500 0.8748  4 Pd 2.82-2.83, 4 Ir 2.83
Pd4 0.2500 0.2500 0.1245  8 Sc 2.82-2.83

Summary:
Total magnetic moment: 0.01 Bohr magnetons per cell
Space-group type: Pmmn, No. 59
E_tot: -30.671 eV/f.u.

***

(9)
ScIrPd after structural relaxation, computed with PBE.

Cell: 4.3106 4.3106 4.3106 Å, 60.00 60.00 60.00°
With the nearest neighbours (Å) after each atom.
Positions (direct):
Pd1 0.7500 0.7500 0.7500  4 Sc 2.64
Ir1 0.2500 0.2500 0.2500  4 Sc 2.64
Sc1 0.0000 0.0000 0.0000  4 Pd 2.64, 4 Ir 2.64

Summary:
Total magnetic moment: 0.00 Bohr magnetons per cell
Space-group type: F-43m, No. 216
E_tot: -20.888 eV/f.u.

***

(10)
Sc2IrPd after structural relaxation, computed with PBE.

Cell: 4.6548 4.6548 3.2085 Å, 90.00 90.00 90.00°
With the nearest neighbours (Å) after each atom.
Positions (direct):
Sc1 0.5000 0.0000 0.5000  4 Pd 2.83, 4 Ir 2.83
Sc2 0.0000 0.5000 0.5000  4 Pd 2.83, 4 Ir 2.83
Ir1 0.5000 0.5000 0.0000  8 Sc 2.83
Pd1 0.0000 0.0000 0.0000  8 Sc 2.83

Summary:
Total magnetic moment: 0.00 Bohr magnetons per cell
Space-group type: P4/mmm, No. 123
E_tot: -30.625 eV/f.u.

***

(11)
Sc2IrPd after structural relaxation, computed with PBE.

Cell: 6.5443 6.6469 6.3913 Å, 90.00 90.00 90.00°
With the nearest neighbours (Å) after each atom.
Positions (direct):
Ir1 0.2502 0.7500 0.4997  8 Sc 2.83
Pd1 0.2502 0.2500 0.5004  8 Sc 2.82-2.83
Sc1 0.5001 0.0000 0.2500  4 Pd 2.82-2.83, 4 Ir 2.83
Pd2 0.7502 0.7500 0.9996  8 Sc 2.82-2.83
Sc2 0.4999 0.5000 0.7500  4 Pd 2.82-2.83, 4 Ir 2.83
Ir2 0.2498 0.7500 0.9997  8 Sc 2.83
Sc3 0.0000 0.5000 0.2500  4 Pd 2.82-2.83, 4 Ir 2.83
Sc4 0.0000 0.5000 0.7500  4 Pd 2.82-2.83, 4 Ir 2.83
Ir3 0.7502 0.2500 0.0003  8 Sc 2.83
Sc5 0.4999 0.0000 0.7500  4 Pd 2.82-2.83, 4 Ir 2.83
Sc6 0.0000 0.0000 0.7500  4 Pd 2.82-2.83, 4 Ir 2.83
Sc7 0.0000 0.0000 0.2500  4 Pd 2.82-2.83, 4 Ir 2.83
Pd3 0.2498 0.2500 0.0004  8 Sc 2.82-2.83
Sc8 0.5001 0.5000 0.2500  4 Pd 2.82-2.83, 4 Ir 2.83
Ir4 0.7498 0.2500 0.5003  8 Sc 2.83
Pd4 0.7498 0.7500 0.4996  8 Sc 2.82-2.83

Summary:
Total magnetic moment: 0.02 Bohr magnetons per cell
Space-group type: Cmmm, No. 65
E_tot: -30.622 eV/f.u.

***

(12)
Sc2IrPd after structural relaxation, computed with PBE.

Cell: 4.5934 4.5934 4.5934 Å, 60.00 60.00 60.00°
With the nearest neighbours (Å) after each atom.
Positions (direct):
Sc1 0.0000 0.0000 0.0000  4 Ir 2.81, 4 Sc 2.81
Ir1 0.2500 0.2500 0.2500  4 Pd 2.81, 4 Sc 2.81
Sc2 0.7500 0.7500 0.7500  4 Sc 2.81, 4 Pd 2.81
Pd1 0.5000 0.5000 0.5000  4 Ir 2.81, 4 Sc 2.81

Summary:
Total magnetic moment: 0.01 Bohr magnetons per cell
Space-group type: F-43m, No. 216
E_tot: -28.768 eV/f.u.

***

- Number 2 is which compound?
  ReIrPd2